VASP calculation (PBE) on crystalline RbSiS3 at its relaxed geometry.

Cell: 5.1461 7.7682 7.7684 Å, 75.05 90.00 90.00°
Last column: nearest neighbours and their distance in Å.
Sites, in units of the cell vectors:
Rb  0.2500  0.8170  0.8170  4 S 3.31-3.69
Rb  0.7500  0.1830  0.1830  4 S 3.31-3.69
Si  0.0000  0.3695  0.6304  4 S 2.08-2.18
Si  0.5000  0.6304  0.3695  4 S 2.08-2.18
S  0.2500  0.3982  0.3982  2 Si 2.18
S  0.7500  0.6018  0.6018  2 Si 2.18
S  0.3045  0.8724  0.3285  1 Si 2.08
S  0.6955  0.6715  0.1275  1 Si 2.08
S  0.8045  0.1275  0.6715  1 Si 2.08
S  0.1955  0.3285  0.8724  1 Si 2.08

Output
Raw formation energy in eV per atom: -0.684
Density in g/cm³: 2.3
Total magnetic moment in μB/cell: 2.1


VASP calculation (PBE) on crystalline RbSiS4 at its relaxed geometry.

Cell: 6.8854 7.0496 8.2372 Å, 115.33 102.72 90.00°
Last column: nearest neighbours and their distance in Å.
Sites, in units of the cell vectors:
Rb  0.1929  0.2150  0.4300  8 S 3.51-3.71
Rb  0.8071  0.7850  0.5700  8 S 3.51-3.71
Si  0.7992  0.4272  0.8543  3 S 2.07-2.19
Si  0.2008  0.5728  0.1457  3 S 2.07-2.19
S  0.7411  0.2842  0.5685  1 Si 2.07
S  0.4949  0.3747  0.1319  1 S 1.98
S  0.0000  0.2781  0.0000  2 Si 2.19
S  0.5051  0.2428  0.8681  1 S 1.98
S  0.2589  0.7158  0.4315  1 Si 2.07
S  0.5051  0.6253  0.8681  1 S 1.98
S  0.0000  0.7219  0.0000  2 Si 2.19
S  0.4949  0.7572  0.1319  1 S 1.98

Output
Raw formation energy in eV per atom: -0.599
Density in g/cm³: 2.3
Total magnetic moment in μB/cell: 0.0


VASP calculation (PBE) on crystalline RbSi2S at its relaxed geometry.

Cell: 7.9198 7.9198 6.5359 Å, 52.71 52.71 90.00°
Last column: nearest neighbours and their distance in Å.
Sites, in units of the cell vectors:
S  0.5000  0.5000  0.0000  4 Si 2.44
S  0.2500  0.7500  0.5000  4 Si 2.44
Si  0.5213  0.1250  0.2500  2 S 2.44
Si  0.2287  0.6250  0.2500  2 S 2.44
Si  0.3750  0.4787  0.7500  2 S 2.44
Si  0.8750  0.7713  0.7500  2 S 2.44
Rb  0.0000  0.0000  0.0000  2 S 3.37, 8 Si 3.41-3.53
Rb  0.7500  0.2500  0.5000  2 S 3.37, 8 Si 3.41-3.53

Output
Raw formation energy in eV per atom: 0.446
Density in g/cm³: 2.7
Total magnetic moment in μB/cell: 0.0


VASP calculation (PBE) on crystalline Rb3SiS3 at its relaxed geometry.

Cell: 7.1252 10.3761 13.1425 Å, 90.00 90.00 110.08°
Last column: nearest neighbours and their distance in Å.
Sites, in units of the cell vectors:
Rb  0.6358  0.0000  0.8329  5 S 3.30-3.44
Rb  0.8642  0.0000  0.3329  5 S 3.30-3.44
Rb  0.1358  0.0000  0.6671  5 S 3.30-3.44
Rb  0.3642  0.0000  0.1671  5 S 3.30-3.44
Rb  0.9749  0.6451  0.3690  6 S 3.44-3.67, 1 Si 3.56
Rb  0.5251  0.3549  0.8690  6 S 3.44-3.67, 1 Si 3.56
Rb  0.8298  0.3549  0.1310  6 S 3.44-3.67, 1 Si 3.56
Rb  0.6702  0.6451  0.6310  6 S 3.44-3.67, 1 Si 3.56
Rb  0.0251  0.3549  0.6310  6 S 3.44-3.67, 1 Si 3.56
Rb  0.4749  0.6451  0.1310  6 S 3.44-3.67, 1 Si 3.56
Rb  0.1702  0.6451  0.8690  6 S 3.44-3.67, 1 Si 3.56
Rb  0.3298  0.3549  0.3690  6 S 3.44-3.67, 1 Si 3.56
Si  0.4193  0.8386  0.5000  4 S 2.20-2.37
Si  0.0807  0.1614  0.0000  4 S 2.20-2.37
Si  0.5807  0.1614  0.5000  4 S 2.20-2.37
Si  0.9193  0.8386  0.0000  4 S 2.20-2.37
S  0.2014  0.0000  0.9206  2 Si 2.37
S  0.2986  0.0000  0.4206  2 Si 2.37
S  0.7014  0.0000  0.5794  2 Si 2.37
S  0.7986  0.0000  0.0794  2 Si 2.37
S  0.5023  0.7069  0.3909  1 Si 2.20
S  0.9977  0.2931  0.8909  1 Si 2.20
S  0.2953  0.2931  0.1091  1 Si 2.20
S  0.2047  0.7069  0.6091  1 Si 2.20
S  0.4977  0.2931  0.6091  1 Si 2.20
S  0.0023  0.7069  0.1091  1 Si 2.20
S  0.7047  0.7069  0.8909  1 Si 2.20
S  0.7953  0.2931  0.3909  1 Si 2.20

Output
Raw formation energy in eV per atom: -0.891
Density in g/cm³: 2.8
Total magnetic moment in μB/cell: 0.0


VASP calculation (PBE) on crystalline Rb2SiS at its relaxed geometry.

Cell: 5.7930 5.7930 5.7930 Å, 60.00 60.00 60.00°
Last column: nearest neighbours and their distance in Å.
Sites, in units of the cell vectors:
S  0.5000  0.5000  0.5000  8 Rb 3.55
Si  0.0000  0.0000  0.0000  8 Rb 3.55
Rb  0.2500  0.2500  0.2500  4 S 3.55, 4 Si 3.55
Rb  0.7500  0.7500  0.7500  4 Si 3.55, 4 S 3.55

Output
Raw formation energy in eV per atom: 0.200
Density in g/cm³: 2.8
Total magnetic moment in μB/cell: 2.0


VASP calculation (PBE) on crystalline Rb5Si2S6 at its relaxed geometry.

Cell: 7.6721 7.6721 17.3166 Å, 80.03 80.03 65.33°
Last column: nearest neighbours and their distance in Å.
Sites, in units of the cell vectors:
Rb  0.6829  0.2072  0.9970  5 S 3.41-3.73
Rb  0.7928  0.3171  0.5030  5 S 3.41-3.73
Rb  0.3171  0.7928  0.0030  5 S 3.41-3.73
Rb  0.2072  0.6829  0.4970  5 S 3.41-3.73
Rb  0.7592  0.9262  0.7223  5 S 3.32-3.47
Rb  0.0738  0.2408  0.7777  5 S 3.32-3.47
Rb  0.2408  0.0738  0.2777  5 S 3.32-3.47
Rb  0.9262  0.7592  0.2223  5 S 3.32-3.47
Rb  0.3818  0.6182  0.7500  4 S 3.46-3.48
Rb  0.6182  0.3818  0.2500  4 S 3.46-3.48
Si  0.3675  0.0834  0.5720  4 S 2.12-2.26
Si  0.9166  0.6325  0.9280  4 S 2.12-2.26
Si  0.6325  0.9166  0.4280  4 S 2.12-2.26
Si  0.0834  0.3675  0.0720  4 S 2.12-2.26
S  0.1307  0.0125  0.6232  1 Si 2.12
S  0.9875  0.8693  0.8768  1 Si 2.12
S  0.8693  0.9875  0.3768  1 Si 2.12
S  0.0125  0.1307  0.1232  1 Si 2.12
S  0.4038  0.2836  0.6322  1 Si 2.13
S  0.7164  0.5962  0.8678  1 Si 2.13
S  0.5962  0.7164  0.3678  1 Si 2.13
S  0.2836  0.4038  0.1322  1 Si 2.13
S  0.6394  0.8135  0.5584  2 Si 2.26
S  0.1865  0.3606  0.9416  2 Si 2.26
S  0.3606  0.1865  0.4416  2 Si 2.26
S  0.8135  0.6394  0.0584  2 Si 2.26

Output
Raw formation energy in eV per atom: -1.010
Density in g/cm³: 2.5
Total magnetic moment in μB/cell: 0.0


VASP calculation (PBE) on crystalline Rb2SiS3 at its relaxed geometry.

Cell: 6.7531 7.7660 15.6117 Å, 90.00 89.99 64.23°
Last column: nearest neighbours and their distance in Å.
Sites, in units of the cell vectors:
Rb  0.5594  0.3817  0.3566  5 S 3.26-3.53
Rb  0.0589  0.3817  0.1434  5 S 3.26-3.53
Rb  0.4406  0.6183  0.6434  5 S 3.26-3.53
Rb  0.9411  0.6183  0.8566  5 S 3.26-3.53
Rb  0.3582  0.7837  0.0654  7 S 3.39-3.67
Rb  0.8582  0.7837  0.4346  7 S 3.39-3.67
Rb  0.6418  0.2163  0.9346  7 S 3.39-3.67
Rb  0.1418  0.2163  0.5654  7 S 3.39-3.67
Si  0.7494  0.0010  0.1720  4 S 2.08-2.24
Si  0.2496  0.0010  0.3280  4 S 2.08-2.24
Si  0.2506  0.9990  0.8280  4 S 2.08-2.24
Si  0.7504  0.9990  0.6720  4 S 2.08-2.24
S  0.5597  0.8807  0.2500  2 Si 2.24
S  0.4403  0.1193  0.7500  2 Si 2.24
S  0.6023  0.2948  0.1514  1 Si 2.08
S  0.1029  0.2948  0.3486  1 Si 2.08
S  0.3977  0.7052  0.8486  1 Si 2.08
S  0.8971  0.7052  0.6514  1 Si 2.08
S  0.6626  0.1748  0.5630  1 Si 2.10
S  0.1626  0.1748  0.9370  1 Si 2.10
S  0.3374  0.8252  0.4370  1 Si 2.10
S  0.8374  0.8252  0.0630  1 Si 2.10
S  0.0595  0.8810  0.2500  2 Si 2.24
S  0.9405  0.1190  0.7500  2 Si 2.24

Output
Raw formation energy in eV per atom: -1.084
Density in g/cm³: 2.7
Total magnetic moment in μB/cell: 0.0


VASP calculation (PBE) on crystalline RbSiS3 at its relaxed geometry.

Cell: 4.7377 4.7377 4.7377 Å, 90.00 90.00 90.00°
Last column: nearest neighbours and their distance in Å.
Sites, in units of the cell vectors:
S  0.0000  0.5000  0.0000  2 Si 2.37
S  0.0000  0.0000  0.5000  2 Si 2.37
S  0.5000  0.0000  0.0000  2 Si 2.37
Si  0.0000  0.0000  0.0000  6 S 2.37
Rb  0.5000  0.5000  0.5000  12 S 3.35

Output
Raw formation energy in eV per atom: -0.267
Density in g/cm³: 3.3
Total magnetic moment in μB/cell: 0.0